Entry from Alexandria via LeMat-Bulk: MnSiNi2 after structural relaxation (GGA-PBEsol).

Cell and atoms, written as extended XYZ:
```
4
Lattice="2.7334 0.0000 0.0000 0.0000 2.7334 0.0000 0.0000 0.0000 6.0353" Properties=species:S:1:pos:R:3 pbc="T T T"
Mn 0.0000 0.0000 0.0000
Si 0.0000 0.0000 3.0176
Ni 1.3667 1.3667 1.6882
Ni 1.3667 1.3667 4.3470
```

Properties
SG: No. 123
Energy: -7.22 eV per atom

=====

Entry from Alexandria via LeMat-Bulk: MnSiNi3 after structural relaxation (GGA-PBEsol).

Cell and atoms, written as extended XYZ:
```
5
Lattice="4.1255 0.0000 0.0000 0.0000 4.1255 0.0000 0.0000 0.0000 4.1255" Properties=species:S:1:pos:R:3 pbc="T T T"
Mn 0.0000 0.0000 0.0000
Si 2.0627 2.0627 2.0627
Ni 0.0000 2.0627 2.0627
Ni 2.0627 0.0000 2.0627
Ni 2.0627 2.0627 0.0000
```

Properties
SG: No. 221
Energy: -6.36 eV per atom

=====

Entry from Alexandria via LeMat-Bulk: MnSiNi after structural relaxation (GGA-PBEsol).

Cell and atoms, written as extended XYZ:
```
12
Lattice="5.3655 0.0000 0.0000 0.0000 5.3655 0.0000 0.0000 0.0000 5.3655" Properties=species:S:1:pos:R:3 pbc="T T T"
Mn 0.0000 0.0000 0.0000
Mn 0.0000 2.6828 2.6828
Mn 2.6828 0.0000 2.6828
Mn 2.6828 2.6828 0.0000
Si 1.3414 1.3414 4.0241
Si 1.3414 4.0241 1.3414
Si 4.0241 1.3414 1.3414
Si 4.0241 4.0241 4.0241
Ni 0.0000 0.0000 2.6828
Ni 0.0000 2.6828 0.0000
Ni 2.6828 0.0000 0.0000
Ni 2.6828 2.6828 2.6828
```

Properties
SG: No. 216
Energy: -7.36 eV per atom

=====

Entry from Alexandria via LeMat-Bulk: Mn4Si3Ni5 after structural relaxation (GGA-PBEsol).

Cell and atoms, written as extended XYZ:
```
12
Lattice="7.4132 0.0000 0.0000 0.0000 2.3225 4.0068 0.0000 -2.3225 4.0068" Properties=species:S:1:pos:R:3 pbc="T T T"
Mn 1.3681 0.0000 0.0000
Mn 2.3052 0.0000 5.3149
Mn 5.1080 0.0000 5.3149
Mn 6.0451 0.0000 0.0000
Si 1.7987 0.0000 2.7329
Si 3.7066 0.0000 1.1577
Si 5.6144 0.0000 2.7329
Ni 0.0000 -1.1384 6.0142
Ni 0.0000 0.0000 4.0657
Ni 0.0000 1.1384 6.0142
Ni 3.7066 -1.1686 3.2392
Ni 3.7066 1.1686 3.2392
```

Properties
SG: No. 38
Energy: -7.56 eV per atom

=====

Entry from Alexandria via LeMat-Bulk: MnSiNi2 after structural relaxation (GGA-PBEsol).

Cell and atoms, written as extended XYZ:
```
4
Lattice="3.5012 0.0000 0.0000 0.0000 3.5012 0.0000 0.0000 0.0000 3.5414" Properties=species:S:1:pos:R:3 pbc="T T T"
Mn 0.0000 0.0000 0.0000
Si 1.7506 1.7506 0.0000
Ni 0.0000 1.7506 1.7707
Ni 1.7506 0.0000 1.7707
```

Properties
SG: No. 123
Energy: -7.34 eV per atom

=====

Entry from Alexandria via LeMat-Bulk: MnSiNi6 after structural relaxation (GGA-PBEsol).

Cell and atoms, written as extended XYZ:
```
32
Lattice="3.4726 -4.9267 0.0000 3.4726 4.9267 0.0000 0.0000 0.0000 9.8435" Properties=species:S:1:pos:R:3 pbc="T T T"
Mn 0.0000 0.0000 2.4483
Mn 0.0000 0.0000 7.3952
Mn 3.4726 2.5004 0.0000
Mn 3.4726 -2.5004 0.0000
Si 3.4726 2.5084 4.9217
Si 3.4726 0.0000 2.4462
Si 3.4726 0.0000 7.3973
Si 3.4726 -2.5084 4.9217
Ni 0.0000 0.0000 0.0000
Ni 0.0000 0.0000 4.9217
Ni 1.7563 1.2346 3.7069
Ni 1.7563 1.2346 6.1366
Ni 1.7585 1.2278 1.2474
Ni 1.7585 1.2278 8.5961
Ni 3.4726 2.4589 2.4906
Ni 3.4726 2.4589 7.3529
Ni 1.7563 -1.2346 3.7069
Ni 1.7563 -1.2346 6.1366
Ni 1.7585 -1.2278 1.2474
Ni 1.7585 -1.2278 8.5961
Ni 3.4726 0.0000 0.0000
Ni 3.4726 0.0000 4.9217
Ni 5.1867 1.2278 1.2474
Ni 5.1867 1.2278 8.5961
Ni 5.1890 1.2346 3.7069
Ni 5.1890 1.2346 6.1366
Ni 3.4726 -2.4589 2.4906
Ni 3.4726 -2.4589 7.3529
Ni 5.1867 -1.2278 1.2474
Ni 5.1867 -1.2278 8.5961
Ni 5.1890 -1.2346 3.7069
Ni 5.1890 -1.2346 6.1366
```

Properties
SG: No. 65
Energy: -6.84 eV per atom

=====

Entry from Alexandria via LeMat-Bulk: MnSiNi2 after structural relaxation (GGA-PBEsol).

Cell and atoms, written as extended XYZ:
```
8
Lattice="3.6212 0.0000 0.0000 0.0000 3.6212 0.0000 0.0000 0.0000 6.6922" Properties=species:S:1:pos:R:3 pbc="T T T"
Mn 0.0000 0.0000 0.0000
Mn 1.8106 1.8106 3.3461
Si 0.0000 0.0000 3.3461
Si 1.8106 1.8106 0.0000
Ni 0.0000 1.8106 1.6731
Ni 0.0000 1.8106 5.0192
Ni 1.8106 0.0000 1.6731
Ni 1.8106 0.0000 5.0192
```

Properties
SG: No. 139
Energy: -7.33 eV per atom

=====

Entry from Alexandria via LeMat-Bulk: Mn3SiNi after structural relaxation (GGA-PBEsol).

Cell and atoms, written as extended XYZ:
```
5
Lattice="4.2264 0.0000 0.0000 0.0000 4.2264 0.0000 0.0000 0.0000 4.2264" Properties=species:S:1:pos:R:3 pbc="T T T"
Mn 0.0000 0.0000 2.1132
Mn 0.0000 2.1132 0.0000
Mn 2.1132 0.0000 0.0000
Si 0.0000 0.0000 0.0000
Ni 2.1132 2.1132 2.1132
```

Properties
SG: No. 221
Energy above the most stable polymorph in this dataset: 1.207 eV per atom

=====

Entry from Alexandria via LeMat-Bulk: MnSiNi after structural relaxation (GGA-PBEsol).

Cell and atoms, written as extended XYZ:
```
12
Lattice="5.7345 0.0000 0.0000 0.0000 3.5214 0.0000 0.0000 0.0000 6.8136" Properties=species:S:1:pos:R:3 pbc="T T T"
Mn 0.1866 0.8803 1.1845
Mn 2.6807 2.6410 4.5913
Mn 3.0539 0.8803 2.2223
Mn 5.5479 2.6410 5.6291
Si 1.3971 2.6410 2.5245
Si 1.4701 0.8803 5.9313
Si 4.2644 2.6410 0.8823
Si 4.3374 0.8803 4.2890
Ni 0.8258 0.8803 3.8005
Ni 2.0414 2.6410 0.3937
Ni 3.6931 0.8803 6.4199
Ni 4.9087 2.6410 3.0131
```

Properties
SG: No. 62
Energy: -7.72 eV per atom

=====

Entry from Alexandria via LeMat-Bulk: MnSiNi after structural relaxation (GGA-PBEsol).

Cell and atoms, written as extended XYZ:
```
6
Lattice="3.9032 0.0000 0.0000 -1.9516 3.3803 0.0000 0.0000 0.0000 5.0419" Properties=species:S:1:pos:R:3 pbc="T T T"
Mn 0.0000 0.0000 0.0000
Mn 0.0000 0.0000 2.5209
Si 0.0000 2.2535 1.2605
Si 1.9516 1.1268 3.7814
Ni 0.0000 2.2535 3.7814
Ni 1.9516 1.1268 1.2605
```

Properties
SG: No. 194
Energy: -7.68 eV per atom

=====

Entry from Alexandria via LeMat-Bulk: MnZnSiNi2 after structural relaxation (GGA-PBEsol).

Cell and atoms, written as extended XYZ:
```
5
Lattice="4.2277 0.0000 0.0000 0.0000 4.2277 0.0000 0.0000 0.0000 4.4050" Properties=species:S:1:pos:R:3 pbc="T T T"
Mn 0.0000 0.0000 0.0000
Zn 0.0000 0.0000 2.2025
Si 2.1138 2.1138 0.0000
Ni 0.0000 2.1138 2.2025
Ni 2.1138 0.0000 2.2025
```

Properties
SG: No. 123
Energy: -4.84 eV per atom

=====

Entry from Alexandria via LeMat-Bulk: ZrMnSi2Ni after structural relaxation (GGA-PBEsol).

Cell and atoms, written as extended XYZ:
```
5
Lattice="4.9317 0.0000 0.0000 0.0000 4.9317 0.0000 0.0000 0.0000 4.4796" Properties=species:S:1:pos:R:3 pbc="T T T"
Zr 0.0000 0.0000 0.0000
Mn 2.4658 2.4658 2.2398
Si 0.0000 2.4658 0.0000
Si 2.4658 0.0000 0.0000
Ni 0.0000 0.0000 2.2398
```

Properties
SG: No. 123
Energy: -6.04 eV per atom

=====

Entry from Alexandria via LeMat-Bulk: MnNiSn3 after structural relaxation (GGA-PBEsol).

Cell and atoms, written as extended XYZ:
```
5
Lattice="4.8827 0.0000 0.0000 0.0000 4.8827 0.0000 0.0000 0.0000 4.8827" Properties=species:S:1:pos:R:3 pbc="T T T"
Mn 0.0000 0.0000 0.0000
Ni 2.4414 2.4414 2.4414
Sn 0.0000 2.4414 2.4414
Sn 2.4414 0.0000 2.4414
Sn 2.4414 2.4414 0.0000
```

Properties
ΔE_f: 0.47 eV per atom
SG: No. 221

=====

Entry from Alexandria via LeMat-Bulk: Mn3Ni4Sn after structural relaxation (GGA-PBEsol).

Cell and atoms, written as extended XYZ:
```
8
Lattice="2.0559 1.1869 6.8383 -2.0559 1.1869 6.8383 0.0000 -2.3739 6.8383" Properties=species:S:1:pos:R:3 pbc="T T T"
Mn 0.0000 0.0000 0.0000
Mn 0.0000 0.0000 5.1693
Mn 0.0000 0.0000 15.3456
Ni 0.0000 0.0000 2.4229
Ni 0.0000 0.0000 7.6115
Ni 0.0000 0.0000 12.9033
Ni 0.0000 0.0000 18.0919
Sn 0.0000 0.0000 10.2574
```

Properties
ΔE_f: -0.02 eV per atom
SG: No. 166

=====

Entry from Alexandria via LeMat-Bulk: Mn3Ni3Sn2 after structural relaxation (GGA-PBEsol).

Cell and atoms, written as extended XYZ:
```
8
Lattice="2.1196 1.2238 6.8994 -2.1196 1.2238 6.8994 0.0000 -2.4475 6.8994" Properties=species:S:1:pos:R:3 pbc="T T T"
Mn 0.0000 0.0000 0.0000
Mn 0.0000 0.0000 2.6404
Mn 0.0000 0.0000 10.3783
Ni 0.0000 0.0000 7.8584
Ni 0.0000 0.0000 12.8816
Ni 0.0000 0.0000 18.0605
Sn 0.0000 0.0000 5.2626
Sn 0.0000 0.0000 15.4519
```

Properties
ΔE_f: -0.05 eV per atom
SG: No. 160

=====

Entry from Alexandria via LeMat-Bulk: TiMnNi4Sn2 after structural relaxation (GGA-PBEsol).

Cell and atoms, written as extended XYZ:
```
8
Lattice="2.1248 1.2268 6.9048 -2.1248 1.2268 6.9048 0.0000 -2.4535 6.9048" Properties=species:S:1:pos:R:3 pbc="T T T"
Ti 0.0000 0.0000 0.0000
Mn 0.0000 0.0000 10.3572
Ni 0.0000 0.0000 2.5527
Ni 0.0000 0.0000 7.7381
Ni 0.0000 0.0000 12.9764
Ni 0.0000 0.0000 18.1618
Sn 0.0000 0.0000 5.1439
Sn 0.0000 0.0000 15.5706
```

Properties
ΔE_f: -0.30 eV per atom
SG: No. 166

=====

Entry from Alexandria via LeMat-Bulk: Sr3MnNi after structural relaxation (GGA-PBEsol).

Cell and atoms, written as extended XYZ:
```
5
Lattice="5.5702 0.0000 0.0000 0.0000 5.5702 0.0000 0.0000 0.0000 5.5702" Properties=species:S:1:pos:R:3 pbc="T T T"
Sr 0.0000 0.0000 2.7851
Sr 0.0000 2.7851 0.0000
Sr 2.7851 0.0000 0.0000
Mn 0.0000 0.0000 0.0000
Ni 2.7851 2.7851 2.7851
```

Properties
ΔE_f: 1.02 eV per atom
SG: No. 221

=====

Entry from Alexandria via LeMat-Bulk: SrMn2Ni after structural relaxation (GGA-PBEsol).

Cell and atoms, written as extended XYZ:
```
4
Lattice="3.0814 0.0000 0.0000 0.0000 3.0814 0.0000 0.0000 0.0000 7.5850" Properties=species:S:1:pos:R:3 pbc="T T T"
Sr 0.0000 0.0000 0.0000
Mn 1.5407 1.5407 2.4970
Mn 1.5407 1.5407 5.0880
Ni 0.0000 0.0000 3.7925
```

Properties
ΔE_f: 0.60 eV per atom
SG: No. 123

=====

Entry from Alexandria via LeMat-Bulk: SrMnNi3 after structural relaxation (GGA-PBEsol).

Cell and atoms, written as extended XYZ:
```
5
Lattice="4.4374 0.0000 0.0000 0.0000 4.4374 0.0000 0.0000 0.0000 4.4374" Properties=species:S:1:pos:R:3 pbc="T T T"
Sr 0.0000 0.0000 0.0000
Mn 2.2187 2.2187 2.2187
Ni 0.0000 2.2187 2.2187
Ni 2.2187 0.0000 2.2187
Ni 2.2187 2.2187 0.0000
```

Properties
ΔE_f: 0.58 eV per atom
SG: No. 221

=====

Entry from Alexandria via LeMat-Bulk: SrMn2Ni after structural relaxation (GGA-PBEsol).

Cell and atoms, written as extended XYZ:
```
8
Lattice="3.9792 0.0000 0.0000 0.0000 3.9792 0.0000 0.0000 0.0000 8.9356" Properties=species:S:1:pos:R:3 pbc="T T T"
Sr 0.0000 0.0000 0.0000
Sr 1.9896 1.9896 4.4678
Mn 0.0000 1.9896 2.2339
Mn 0.0000 1.9896 6.7017
Mn 1.9896 0.0000 2.2339
Mn 1.9896 0.0000 6.7017
Ni 0.0000 0.0000 4.4678
Ni 1.9896 1.9896 0.0000
```

Properties
ΔE_f: 0.85 eV per atom
SG: No. 139